Material: RbYTi
Method: DFT, PBE-GGA
State: optimized geometry

Calculated values
The calculation puts the mass density at 1.849 g cm⁻³. The calculated volume is 399.1 Å³ per cell. For the polymorph energy (0 for the lowest one), the calculation gives 1724 meV/atom. The density of states at the Fermi level comes out at 8.22 states/eV/f.u.

```
RbYTi
1.0
6.662 0.000 0.000
-3.331 5.770 0.000
0.000 0.000 10.384
Rb Y Ti
2 2 2
direct
0.333 0.667 0.250 Rb
0.667 0.333 0.750 Rb
0.000 0.000 0.250 Y
0.000 0.000 0.750 Y
0.000 0.000 0.000 Ti
0.000 0.000 0.500 Ti
```